Record 1
Compound: ZrPb2W
Source: the Alexandria database
Functional: GGA-PBE
Structure: optimized geometry

a b c (Å): 3.2940 3.2940 28.5175
angles (deg): 90.00 90.00 120.00
With the nearest neighbours (Å) after each atom.
Positions (direct):
Zr 0.0000 0.0000 0.0000  6 Pb 3.17, 6 Zr 3.29
Zr 0.3333 0.6667 0.6667  6 Pb 3.17, 6 Zr 3.29
Zr 0.6667 0.3333 0.3333  6 Pb 3.17, 6 Zr 3.29
Pb 0.0000 0.0000 0.2443  3 W 2.92, 3 Zr 3.17
Pb 0.0000 0.0000 0.7557  3 W 2.92, 3 Zr 3.17
Pb 0.3333 0.6667 0.4224  3 W 2.92, 3 Zr 3.17
Pb 0.3333 0.6667 0.9109  3 W 2.92, 3 Zr 3.17
Pb 0.6667 0.3333 0.0891  3 W 2.92, 3 Zr 3.17
Pb 0.6667 0.3333 0.5776  3 W 2.92, 3 Zr 3.17
W 0.0000 0.0000 0.5000  6 Pb 2.92
W 0.3333 0.6667 0.1667  6 Pb 2.92
W 0.6667 0.3333 0.8333  6 Pb 2.92

Output
energy relative to the elements: 636 meV/atom
total magnetic moment: 0.000 Bohr magnetons per cell

***

Record 2
Compound: Tb4TmSc2
Source: the Alexandria database
Functional: GGA-PBE
Structure: optimized geometry

a b c (Å): 5.4505 6.7784 11.6115
angles (deg): 90.00 103.60 90.00
With the nearest neighbours (Å) after each atom.
Positions (direct):
Tb 0.0714 0.2500 0.1471  3 Sc 3.14-3.19, 3 Tm 3.31-3.39
Tb 0.2145 0.7500 0.4326  4 Sc 3.16-3.39, 1 Tm 3.23
Tb 0.3549 0.5006 0.7099  7 Tb 3.38-3.60, 5 Sc 3.54-3.70, 2 Tm 3.59-3.61
Tb 0.3549 0.9994 0.7099  7 Tb 3.38-3.60, 5 Sc 3.54-3.70, 2 Tm 3.59-3.61
Tb 0.6451 0.0006 0.2901  7 Tb 3.38-3.60, 5 Sc 3.54-3.70, 2 Tm 3.59-3.61
Tb 0.6451 0.4994 0.2901  7 Tb 3.38-3.60, 5 Sc 3.54-3.70, 2 Tm 3.59-3.61
Tb 0.7855 0.2500 0.5674  4 Sc 3.16-3.39, 1 Tm 3.23
Tb 0.9286 0.7500 0.8529  3 Sc 3.14-3.19, 3 Tm 3.31-3.39
Tm 0.0757 0.7500 0.1465  2 Sc 3.19-3.20, 4 Tb 3.23-3.39
Tm 0.9243 0.2500 0.8535  2 Sc 3.19-3.20, 4 Tb 3.23-3.39
Sc 0.2146 0.2500 0.4254  5 Tb 3.14-3.39
Sc 0.4978 0.2500 0.0013  2 Tb 3.18-3.19, 2 Tm 3.19-3.20, 2 Sc 3.39
Sc 0.5022 0.7500 0.9987  2 Tb 3.18-3.19, 2 Tm 3.19-3.20, 2 Sc 3.39
Sc 0.7854 0.7500 0.5746  5 Tb 3.14-3.39

Output
energy relative to the elements: 148 meV/atom
total magnetic moment: 0.001 Bohr magnetons per cell

***

no.,electronic total energy (eV per cell)
1,-79.1
2,-69.2